No. 1
Entry from Alexandria via LeMat-Bulk: a relaxed structure of Na17Ga11Pd (PBE).

Lattice parameters (Å, degrees): 9.6566 9.6566 9.5718 109.19 109.19 110.25
With the nearest neighbours (Å) after each atom.
Fractional positions:
Ga (0.1768, 0.3516, 0.3439)  1 Pd 2.60, 2 Ga 2.74-2.77
Na (0.6890, 0.2822, 0.6877)  7 Na 3.14-3.40, 5 Ga 3.22-3.37
Na (0.3127, 0.5932, 0.0006)  7 Na 3.09-3.37, 4 Ga 3.21-3.33, 1 Pd 3.43
Na (0.9999, 0.5972, 0.3120)  7 Na 3.14-3.40, 5 Ga 3.20-3.40
Ga (0.1825, 0.8274, 0.1768)  3 Ga 2.72-2.83
Na (0.6787, 0.6787, 0.2767)  7 Na 3.16-3.40, 4 Ga 3.28-3.36, 1 Pd 3.33
Ga (0.8274, 0.1825, 0.1768)  3 Ga 2.72-2.83
Ga (0.6518, 0.0068, 0.8290)  3 Ga 2.72-2.78
Na (0.9961, 0.9961, 0.3491)  4 Na 3.16-3.34, 6 Ga 3.22-3.29
Na (0.3540, 0.0024, 0.0011)  4 Na 3.09-3.43, 5 Ga 3.16-3.24, 1 Pd 3.18
Ga (0.8269, 0.0026, 0.6490)  3 Ga 2.77-2.78
Ga (0.1794, 0.1794, 0.8455)  1 Pd 2.54, 2 Ga 2.77
Na (0.9996, 0.3131, 0.5926)  7 Na 3.16-3.39, 5 Ga 3.20-3.40
Na (0.0024, 0.3540, 0.0011)  4 Na 3.09-3.43, 5 Ga 3.16-3.24, 1 Pd 3.18
Na (0.6500, 0.6500, 0.6493)  4 Na 3.11-3.34, 6 Ga 3.23-3.30
Na (0.4053, 0.7136, 0.4031)  7 Na 3.13-3.38, 4 Ga 3.15-3.42, 1 Pd 3.28
Ga (0.6467, 0.8226, 0.9991)  3 Ga 2.78-2.83
Na (0.4075, 0.4075, 0.7194)  7 Na 3.11-3.40, 5 Ga 3.29-3.36
Na (0.9969, 0.9969, 0.0005)  1 Pd 3.09, 11 Ga 3.11-3.26, 4 Na 3.34-3.43
Na (0.7136, 0.4053, 0.4031)  7 Na 3.13-3.38, 4 Ga 3.15-3.42, 1 Pd 3.28
Ga (0.0026, 0.8269, 0.6490)  3 Ga 2.77-2.78
Na (0.5932, 0.3127, 0.0006)  7 Na 3.09-3.37, 4 Ga 3.21-3.33, 1 Pd 3.43
Na (0.5972, 0.9999, 0.3120)  7 Na 3.14-3.40, 5 Ga 3.20-3.40
Na (0.2822, 0.6890, 0.6877)  7 Na 3.14-3.40, 5 Ga 3.22-3.37
Na (0.3131, 0.9996, 0.5926)  7 Na 3.16-3.39, 5 Ga 3.20-3.40
Ga (0.8226, 0.6467, 0.9991)  3 Ga 2.78-2.83
Ga (0.0068, 0.6518, 0.8290)  3 Ga 2.72-2.78
Pd (0.3335, 0.3335, 0.1698)  3 Ga 2.54-2.60
Ga (0.3516, 0.1768, 0.3439)  1 Pd 2.60, 2 Ga 2.74-2.77

Output
Space group: Cm (8)
Energy of formation from the pure elements (meV/atom): -84

***

No. 2
Entry from Alexandria via LeMat-Bulk: a relaxed structure of Cr2FePt (PBE).

Lattice parameters (Å, degrees): 3.6061 3.6061 8.7160 78.06 78.06 90.00
With the nearest neighbours (Å) after each atom.
Fractional positions:
Cr (0.8750, 0.8220, 0.7500)  2 Cr 2.30, 2 Fe 2.38, 2 Pt 2.52
Cr (0.1780, 0.6250, 0.2500)  2 Cr 2.30, 2 Fe 2.38, 2 Pt 2.52
Cr (0.5720, 0.1250, 0.2500)  2 Cr 2.30, 2 Fe 2.38, 2 Pt 2.52
Fe (0.5000, 0.5000, 0.0000)  4 Cr 2.38, 4 Pt 2.55
Pt (0.0000, 0.0000, 0.0000)  4 Cr 2.52, 4 Fe 2.55
Cr (0.3750, 0.4280, 0.7500)  2 Cr 2.30, 2 Fe 2.38, 2 Pt 2.52
Pt (0.7500, 0.2500, 0.5000)  4 Cr 2.52, 4 Fe 2.55
Fe (0.2500, 0.7500, 0.5000)  4 Cr 2.38, 4 Pt 2.55

Output
Space group: I-42d (122)
Energy of formation from the pure elements (meV/atom): 527

***

No. 3
Entry from Alexandria via LeMat-Bulk: a relaxed structure of BI2O8 (PBE).

Lattice parameters (Å, degrees): 4.9737 5.7948 5.7948 75.69 80.64 80.64
With the nearest neighbours (Å) after each atom.
Fractional positions:
I (0.8467, 0.7343, 0.7343)  3 O 1.78-1.96
B (0.0000, 0.0000, 0.0000)  4 O 1.57
O (0.9508, 0.0480, 0.7308)  1 B 1.57
O (0.3675, 0.5090, 0.5090)  1 O 1.29
O (0.9508, 0.7308, 0.0480)  1 B 1.57
O (0.4857, 0.8077, 0.8077)  1 I 1.78
O (0.0492, 0.9520, 0.2692)  1 B 1.57
O (0.5143, 0.1923, 0.1923)  1 I 1.78
O (0.6325, 0.4910, 0.4910)  1 O 1.29
I (0.1533, 0.2657, 0.2657)  3 O 1.78-1.96
O (0.0492, 0.2692, 0.9520)  1 B 1.57

Output
Space group: C2/m (12)
E_form (uncorrected) (eV/atom): -0.297

***

No. 4
Entry from Alexandria via LeMat-Bulk: a relaxed structure of MgAg2Br4 (PBE).

Lattice parameters (Å, degrees): 6.7370 6.7370 7.1162 118.25 118.25 90.00
With the nearest neighbours (Å) after each atom.
Fractional positions:
Br (0.9051, 0.9051, 0.2579)  1 Mg 2.53, 2 Ag 2.76
Mg (0.0000, 0.0000, 0.0000)  4 Br 2.53
Ag (0.5000, 0.0000, 0.0000)  4 Br 2.76
Br (0.6472, 0.0949, 0.7421)  1 Mg 2.53, 2 Ag 2.76
Br (0.3528, 0.3528, 0.2579)  1 Mg 2.53, 2 Ag 2.76
Br (0.0949, 0.6472, 0.7421)  1 Mg 2.53, 2 Ag 2.76
Ag (0.0000, 0.5000, 0.0000)  4 Br 2.76

Output
Space group: I-42m (121)
Energy above the most stable polymorph in this dataset (meV per atom): 17
E_form (uncorrected) (eV/atom): -0.785